Entry 1:
## Pu2GaSi3Ir4 (PBE)

Data for a relaxed structure of Pu2GaSi3Ir4.

The structure in CIF format:
```
data_Pu2GaSi3Ir4
_chemical_formula_sum 'Pu2 Ga1 Si3 Ir4'
_space_group_name_H-M_alt 'P -4 m 2'
_space_group_IT_number 115
_cell_length_a 4.1323
_cell_length_b 4.1323
_cell_length_c 10.1352
_cell_angle_alpha 90.00
_cell_angle_beta 90.00
_cell_angle_gamma 90.00
loop_
_space_group_symop_operation_xyz
'x,y,z'
'y,-x,-z'
'-x,-y,z'
'-y,x,-z'
'-x,y,z'
'-y,-x,-z'
'x,-y,z'
'y,x,-z'
loop_
_atom_site_label
_atom_site_type_symbol
_atom_site_fract_x
_atom_site_fract_y
_atom_site_fract_z
_atom_site_occupancy
Pu1 Pu 0.0000 0.5000 0.2463 1
Ga1 Ga 0.5000 0.5000 0.0000 1
Si1 Si 0.0000 0.0000 0.0000 1
Si2 Si 0.0000 0.5000 0.6269 1
Ir1 Ir 0.0000 0.0000 0.5000 1
Ir2 Ir 0.0000 0.5000 0.8618 1
Ir3 Ir 0.5000 0.5000 0.5000 1
```

Output
Its formation energy (no corrections) is -0.787 eV/atom.

---

Entry 2:
## TmPuGaIr (PBE)

Data for a relaxed structure of TmPuGaIr.

The structure in CIF format:
```
data_TmPuGaIr
_chemical_formula_sum 'Tm4 Pu4 Ga4 Ir4'
_space_group_name_H-M_alt 'F -4 3 m'
_space_group_IT_number 216
_space_group_name_Hall 'F -4 2 3'
_cell_length_a 6.9604
_cell_length_b 6.9604
_cell_length_c 6.9604
_cell_angle_alpha 90.00
_cell_angle_beta 90.00
_cell_angle_gamma 90.00
loop_
_atom_site_label
_atom_site_type_symbol
_atom_site_fract_x
_atom_site_fract_y
_atom_site_fract_z
_atom_site_occupancy
Tm1 Tm 0.0000 0.0000 0.0000 1
Pu1 Pu 0.0000 0.0000 0.5000 1
Ga1 Ga 0.2500 0.2500 0.2500 1
Ir1 Ir 0.2500 0.2500 0.7500 1
```

Output
As for the calculated formation energy: -11.6 kcal/mol of atoms.

---

Entry 3:
## PuUGaIr (PBE)

Data for a relaxed structure of PuUGaIr.

The structure in CIF format:
```
data_PuUGaIr
_chemical_formula_sum 'Pu4 U4 Ga4 Ir4'
_space_group_name_H-M_alt 'F -4 3 m'
_space_group_IT_number 216
_space_group_name_Hall 'F -4 2 3'
_cell_length_a 6.7459
_cell_length_b 6.7459
_cell_length_c 6.7459
_cell_angle_alpha 90.00
_cell_angle_beta 90.00
_cell_angle_gamma 90.00
loop_
_atom_site_label
_atom_site_type_symbol
_atom_site_fract_x
_atom_site_fract_y
_atom_site_fract_z
_atom_site_occupancy
Pu1 Pu 0.0000 0.0000 0.0000 1
U1 U 0.2500 0.2500 0.7500 1
Ga1 Ga 0.2500 0.2500 0.2500 1
Ir1 Ir 0.0000 0.0000 0.5000 1
```

Output
As for the calculated formation energy: -8.5 kcal/mol of atoms.

---

Entry 4:
## PuZnGaIr (PBE)

Data for a relaxed structure of PuZnGaIr.

The structure in CIF format:
```
data_PuZnGaIr
_chemical_formula_sum 'Pu4 Zn4 Ga4 Ir4'
_space_group_name_H-M_alt 'F -4 3 m'
_space_group_IT_number 216
_space_group_name_Hall 'F -4 2 3'
_cell_length_a 6.6169
_cell_length_b 6.6169
_cell_length_c 6.6169
_cell_angle_alpha 90.00
_cell_angle_beta 90.00
_cell_angle_gamma 90.00
loop_
_atom_site_label
_atom_site_type_symbol
_atom_site_fract_x
_atom_site_fract_y
_atom_site_fract_z
_atom_site_occupancy
Pu1 Pu 0.0000 0.0000 0.0000 1
Zn1 Zn 0.2500 0.2500 0.2500 1
Ga1 Ga 0.0000 0.0000 0.5000 1
Ir1 Ir 0.2500 0.2500 0.7500 1
```

Output
As for the calculated formation energy: -5.0 kcal/mol of atoms. As for the polymorph energy (0 for the lowest one): 0.117 eV/atom.